# 1
## Zn2BIr (meta-GGA SCAN)

Data for Zn2BIr at its PBEsol-relaxed geometry.

```
data_Zn2BIr
_chemical_formula_sum 'Zn8 B4 Ir4'
_symmetry_space_group_name_H-M 'I -4 2 d'
_symmetry_Int_Tables_number 122
_symmetry_space_group_name_Hall 'I -4 2bw'
_cell_length_a 3.2668
_cell_length_b 3.2668
_cell_length_c 18.9207
_cell_angle_alpha 90.00
_cell_angle_beta 90.00
_cell_angle_gamma 90.00
loop_
_atom_site_label
_atom_site_type_symbol
_atom_site_fract_x
_atom_site_fract_y
_atom_site_fract_z
Zn1 Zn 0.2494 0.2500 0.1250
B1 B 0.0000 0.0000 0.5000
Ir1 Ir 0.0000 0.0000 0.0000
```

## Properties
ρ   10.98 g/cm3
D(E_F)   0.454 states/eV per atom
Calculated total energy   -25.872 eV per atom

***

# 2
## Zn5B3Ir7 (meta-GGA SCAN)

Data for Zn5B3Ir7 at its PBEsol-relaxed geometry.

```
data_Zn5B3Ir7
_chemical_formula_sum 'Zn10 B6 Ir14'
_symmetry_space_group_name_H-M 'P m m a'
_symmetry_Int_Tables_number 51
_cell_length_a 11.1225
_cell_length_b 2.8391
_cell_length_c 11.7342
_cell_angle_alpha 90.00
_cell_angle_beta 90.00
_cell_angle_gamma 90.00
loop_
_symmetry_equiv_pos_as_xyz
'x,y,z'
'-x,-y,-z'
'-x+1/2,-y,z'
'x+1/2,y,-z'
'x+1/2,-y,-z'
'-x+1/2,y,z'
'-x,y,-z'
'x,-y,z'
loop_
_atom_site_label
_atom_site_type_symbol
_atom_site_fract_x
_atom_site_fract_y
_atom_site_fract_z
Zn1 Zn 0.0494 0.0000 0.1365
Zn2 Zn 0.1309 0.0000 0.3455
Zn3 Zn 0.2500 0.0000 0.8114
B1 B 0.1186 0.0000 0.5922
B2 B 0.2500 0.0000 0.0366
Ir1 Ir 0.0000 0.5000 0.5000
Ir2 Ir 0.0808 0.5000 0.7222
Ir3 Ir 0.1238 0.5000 0.9618
Ir4 Ir 0.2500 0.5000 0.1811
Ir5 Ir 0.2500 0.5000 0.5217
```

## Properties
ρ   15.28 g/cm3
D(E_F)   0.264 states/eV per atom
Calculated total energy   -39.484 eV per atom

***

# 3
## KLa2B2 (meta-GGA SCAN)

Data for KLa2B2 at its PBEsol-relaxed geometry.

```
data_KLa2B2
_chemical_formula_sum 'K2 La4 B4'
_symmetry_space_group_name_H-M 'I 4/m m m'
_symmetry_Int_Tables_number 139
_symmetry_space_group_name_Hall '-I 4 2'
_cell_length_a 5.2923
_cell_length_b 5.2923
_cell_length_c 8.0198
_cell_angle_alpha 90.00
_cell_angle_beta 90.00
_cell_angle_gamma 90.00
loop_
_atom_site_label
_atom_site_type_symbol
_atom_site_fract_x
_atom_site_fract_y
_atom_site_fract_z
K1 K 0.0000 0.0000 0.0000
La1 La 0.0000 0.5000 0.2500
B1 B 0.0000 0.0000 0.3996
```

## Properties
ρ   5.01 g/cm3
D(E_F)   0.612 states/eV per atom
Calculated total energy   -21.398 eV per atom